Record 1
Density functional theory data (GGA-PBEsol) for a relaxed K2LiSbI6 crystal.

It has space group Fm-3m (No. 225), with a = 11.6969 Å, b = 11.6969 Å, c = 11.6969 Å, α = 90.00°, β = 90.00° and γ = 90.00°. The distinct sites, in fractional coordinates, are K at (0.2500, 0.2500, 0.2500), Li at (0.0000, 0.0000, 0.0000), Sb at (0.0000, 0.0000, 0.5000) and I at (0.0000, 0.0000, 0.2462).

The electronic total energy comes out at -2.834 eV per atom. The uncorrected formation energy comes out at -9.0 eV/f.u.


Record 2
Density functional theory data (GGA-PBEsol) for a relaxed KLiSb2I crystal.

It has space group P4/mmm (No. 123), with a = 4.9622 Å, b = 4.9622 Å, c = 6.3603 Å, α = 90.00°, β = 90.00° and γ = 90.00°. The distinct sites, in fractional coordinates, are K at (0.0000, 0.0000, 0.0000), Li at (0.5000, 0.5000, 0.5000), Sb at (0.0000, 0.5000, 0.5000) and I at (0.5000, 0.5000, 0.0000).

The electronic total energy comes out at -2.972 eV per atom. The uncorrected formation energy comes out at -0.9 eV/f.u.


Among the records above, which one has the highest uncorrected formation energy?
KLiSb2I


Which formula does entry 1 have?
K2LiSbI6


Repeat the first record exactly.
Density functional theory data (GGA-PBEsol) for a relaxed K2LiSbI6 crystal.

It has space group Fm-3m (No. 225), with a = 11.6969 Å, b = 11.6969 Å, c = 11.6969 Å, α = 90.00°, β = 90.00° and γ = 90.00°. The distinct sites, in fractional coordinates, are K at (0.2500, 0.2500, 0.2500), Li at (0.0000, 0.0000, 0.0000), Sb at (0.0000, 0.0000, 0.5000) and I at (0.0000, 0.0000, 0.2462).

The electronic total energy comes out at -2.834 eV per atom. The uncorrected formation energy comes out at -9.0 eV/f.u.